No. 1
DFT (SCAN) results for La12Re5C15 at its PBEsol-relaxed geometry.

POSCAR file:
```
La12Re5C15
1.0
-0.731 0.716 -5.307
-10.213 -4.209 0.840
1.623 10.888 1.245
La C Re
12 15 5
direct
0.500 0.796 0.000
0.500 0.419 0.000
0.500 0.000 0.796
0.000 0.541 0.812
0.500 0.581 0.581
0.000 0.812 0.541
0.500 0.000 0.419
0.500 0.204 0.204
0.000 0.271 0.459
0.000 0.188 0.729
0.000 0.459 0.271
0.000 0.729 0.188
0.000 0.795 0.000
0.500 0.812 0.523
0.500 0.188 0.711
0.000 0.552 0.552
0.000 0.675 0.675
0.500 0.477 0.289
0.000 0.205 0.205
0.000 0.000 0.448
0.000 0.000 0.795
0.500 0.523 0.812
0.500 0.289 0.477
0.000 0.325 0.000
0.500 0.711 0.188
0.000 0.000 0.325
0.000 0.448 0.000
0.000 0.000 0.152
0.500 0.333 0.667
0.000 0.152 0.000
0.500 0.667 0.333
0.000 0.848 0.848
```

The value obtained for the volume is 575 Å³/cell. The value obtained for the energy is -32.37 eV per atom. As for the formation energy: -366.9 meV/atom.

***

No. 2
DFT (SCAN) results for NiRh2 at its PBEsol-relaxed geometry.

POSCAR file:
```
NiRh2
1.0
-0.177 1.756 1.957
-2.086 -0.470 -1.540
-3.735 -9.115 7.840
Ni Rh
2 4
direct
0.667 0.333 0.576
0.333 0.667 0.424
0.000 0.000 0.739
0.000 0.000 0.261
0.333 0.667 0.913
0.667 0.333 0.087
```

The value obtained for the volume is 76 Å³/cell. The value obtained for the energy is -27.85 eV per atom. As for the formation energy: 52.2 meV/atom. The value obtained for the energy above the most stable polymorph in this dataset is 0.05 eV/f.u.

***

No. 3
DFT (SCAN) results for Tc2OsSe at its PBEsol-relaxed geometry.

POSCAR file:
```
Tc2OsSe
1.0
2.810 0.000 0.000
0.000 3.949 0.000
-1.405 0.000 5.164
Os Tc Se
1 2 1
direct
0.819 0.000 0.638
0.075 0.000 0.149
0.441 0.500 0.882
0.672 0.500 0.344
```

The value obtained for the volume is 57 Å³/cell. The value obtained for the energy is -40.23 eV per atom. The calculation puts the raw formation energy at 0.29 eV/atom.

***

No. 4
DFT (SCAN) results for CaMnTl at its PBEsol-relaxed geometry.

POSCAR file:
```
CaMnTl
1.0
3.581 0.000 0.000
0.000 3.581 0.000
-1.791 -1.791 5.438
Ca Tl Mn
1 1 1
direct
0.002 0.002 0.004
0.308 0.308 0.615
0.690 0.690 0.381
```

The value obtained for the volume is 70 Å³/cell. The value obtained for the energy is -33.53 eV per atom. As for the formation energy: -105.7 meV/atom.

***

| no. | total moment (μB/atom) |
| --- | --- |
| 1 | 0.000 |
| 2 | 0.379 |
| 3 | 0.000 |
| 4 | 1.384 |